This record from Alexandria describes CsLiF3 after structural relaxation. The functional is GGA-PBE.

Summary:
raw formation energy	-1.605	eV/atom
N(E_F)	1.59	states/eV/f.u.
crystal system	cubic
excess energy over the best structure of this formula in the dataset	12.08	kcal/mol of atoms
total energy	-3.281	eV/atom

Lattice parameters (Å, degrees): 5.141 5.141 5.141 90.00 90.00 90.00
Space group Pm-3m (No. 221)
Asymmetric unit:
Cs 0.000 0.000 0.000 (multiplicity 1)
Li 0.500 0.500 0.500 (multiplicity 1)
F 0.000 0.000 0.500 (multiplicity 3)